<a>
{
  "formula": "LaPrAlSn",
  "functional": "PBE",
  "state": "optimized geometry",
  "lattice": [[-1.976, -2.229, 3.637], [3.363, 1.118, 2.512], [-1.817, 6.105, -0.284]],
  "species": ["Sn", "Al", "Pr", "La"],
  "frac_coords": [[0.425, 0.000, 0.851], [0.576, 0.500, 0.152], [0.858, 0.500, 0.717], [0.140, 0.000, 0.281]],
  "total_magnetization_mub_per_atom": 0.077,
  "dos_ef_per_ev_fu": 3.68
}

=====

<b>
{
  "formula": "LaPrAlSn",
  "functional": "PBE",
  "state": "optimized geometry",
  "lattice": [[-4.442, 2.424, 2.079], [-4.481, 0.604, -3.080], [-4.477, -2.953, 1.076]],
  "species": ["Pr", "La", "Sn", "Al"],
  "frac_coords": [[0.000, 0.000, 0.000], [0.500, 0.500, 0.500], [0.250, 0.250, 0.250], [0.750, 0.750, 0.750]],
  "total_magnetization_mub_per_atom": 0.000,
  "dos_ef_per_ev_fu": 2.70
}

=====

Name the least stable of them. <b>.

=====

<a>
{
  "formula": "La3Al4Pt4",
  "functional": "PBE",
  "state": "optimized geometry",
  "lattice": [[4.097, 0.000, -1.128], [-0.829, 6.698, -3.011], [0.107, -0.290, 8.395]],
  "species": ["Pt", "La", "Pt", "Pt", "Al", "Al", "Pt", "Al", "Al", "La", "La"],
  "frac_coords": [[0.780, 0.280, 0.560], [0.882, 0.882, 0.764], [0.500, 0.784, 0.000], [0.500, 0.216, 0.000], [0.320, 0.514, 0.640], [0.680, 0.874, 0.360], [0.220, 0.720, 0.440], [0.320, 0.126, 0.640], [0.680, 0.486, 0.360], [0.118, 0.118, 0.236], [0.000, 0.500, 0.000]],
  "total_magnetization_mub_per_atom": 0.000,
  "dos_ef_per_ev_fu": 5.10
}

=====

<b>
{
  "formula": "La3Al4Pt4",
  "functional": "PBE",
  "state": "optimized geometry",
  "lattice": [[-4.226, -3.430, 4.055], [0.949, -3.486, -5.745], [5.957, 0.851, 3.140]],
  "species": ["Pt", "Pt", "Pt", "Al", "La", "Al", "Al", "Pt", "La", "La", "Al"],
  "frac_coords": [[0.000, 0.624, 0.000], [0.000, 0.000, 0.624], [0.376, 0.376, 0.376], [0.000, 0.261, 0.000], [0.000, 0.500, 0.500], [0.000, 0.000, 0.261], [0.739, 0.739, 0.739], [0.624, 0.000, 0.000], [0.500, 0.000, 0.500], [0.500, 0.500, 0.000], [0.261, 0.000, 0.000]],
  "total_magnetization_mub_per_atom": 0.000,
  "dos_ef_per_ev_fu": 11.95
}

=====

Name the least stable of them. <b>.

=====

<a>
{
  "formula": "SrLa2AlPt",
  "functional": "PBE",
  "state": "optimized geometry",
  "lattice": [[-3.836, -0.816, -4.332], [1.728, -4.742, -0.637], [-3.936, -1.952, 3.853]],
  "species": ["La", "Pt", "Al", "Sr", "La"],
  "frac_coords": [[0.000, 0.000, 0.500], [0.000, 0.500, 0.000], [0.500, 0.500, 0.500], [0.000, 0.000, 0.000], [0.500, 0.000, 0.000]],
  "total_magnetization_mub_per_atom": 0.000,
  "dos_ef_per_ev_fu": 5.01
}

=====

<b>
{
  "formula": "SrLa2AlPt",
  "functional": "PBE",
  "state": "optimized geometry",
  "lattice": [[5.783, 0.000, 0.000], [0.000, 5.783, 0.000], [0.000, 0.000, 4.983]],
  "species": ["Al", "La", "Pt", "La", "Sr"],
  "frac_coords": [[0.000, 0.000, 0.500], [0.000, 0.500, 0.000], [0.000, 0.000, 0.000], [0.500, 0.000, 0.000], [0.500, 0.500, 0.500]],
  "total_magnetization_mub_per_atom": 0.000,
  "dos_ef_per_ev_fu": 4.43
}

=====

Name the least stable of them. <a>.

=====

<a>
{
  "formula": "LaAlTe2Pt",
  "functional": "PBE",
  "state": "optimized geometry",
  "lattice": [[-5.211, 1.246, -1.481], [-0.026, -3.568, -2.913], [-1.935, -3.287, 4.044]],
  "species": ["Te", "Te", "La", "Al", "Pt"],
  "frac_coords": [[0.500, 0.000, 0.000], [0.000, 0.000, 0.500], [0.500, 0.500, 0.500], [0.000, 0.500, 0.000], [0.000, 0.000, 0.000]],
  "total_magnetization_mub_per_atom": 0.000,
  "dos_ef_per_ev_fu": 2.38
}

=====

<b>
{
  "formula": "LaAlTe2Pt",
  "functional": "PBE",
  "state": "optimized geometry",
  "lattice": [[-4.427, -0.948, -2.883], [0.100, -4.526, 1.334], [-3.033, 1.190, 4.265]],
  "species": ["Te", "La", "Pt", "Al", "Te"],
  "frac_coords": [[0.000, 0.000, 0.500], [0.500, 0.500, 0.500], [0.000, 0.500, 0.000], [0.000, 0.000, 0.000], [0.500, 0.000, 0.000]],
  "total_magnetization_mub_per_atom": 0.000,
  "dos_ef_per_ev_fu": 0.50
}

=====

Name the least stable of them. <b>.

=====

<a>
{
  "formula": "La2PuAl",
  "functional": "PBE",
  "state": "optimized geometry",
  "lattice": [[3.730, 0.000, 0.000], [0.000, 3.730, 0.000], [0.000, 0.000, 8.629]],
  "species": ["La", "La", "Al", "Pu"],
  "frac_coords": [[0.000, 0.000, 0.221], [0.000, 0.000, 0.779], [0.500, 0.500, 0.000], [0.500, 0.500, 0.500]],
  "total_magnetization_mub_per_atom": 1.739,
  "dos_ef_per_ev_fu": 7.23
}

=====

<b>
{
  "formula": "La2PuAl",
  "functional": "PBE",
  "state": "optimized geometry",
  "lattice": [[3.479, 0.000, 0.000], [1.740, 3.013, 0.000], [1.740, 1.004, 11.672]],
  "species": ["Pu", "La", "La", "Al"],
  "frac_coords": [[0.000, 0.000, 0.000], [0.096, 0.096, 0.712], [0.904, 0.904, 0.288], [0.500, 0.500, 0.500]],
  "total_magnetization_mub_per_atom": 1.588,
  "dos_ef_per_ev_fu": 12.00
}

=====

Name the least stable of them. <b>.

=====

<a>
{
  "formula": "La2PuAl",
  "functional": "PBE",
  "state": "optimized geometry",
  "lattice": [[-1.116, -4.382, 1.084], [-0.047, -1.180, -4.819], [4.817, -1.167, 0.239]],
  "species": ["Al", "La", "Pu", "La"],
  "frac_coords": [[0.500, 0.000, 0.000], [0.000, 0.500, 0.000], [0.500, 0.500, 0.500], [0.000, 0.000, 0.500]],
  "total_magnetization_mub_per_atom": 1.597,
  "dos_ef_per_ev_fu": 11.32
}

=====

<b>
{
  "formula": "La2PuAl",
  "functional": "PBE",
  "state": "optimized geometry",
  "lattice": [[5.475, 0.000, 0.000], [2.738, 4.742, 0.000], [2.738, 1.581, 4.471]],
  "species": ["Pu", "La", "La", "Al"],
  "frac_coords": [[0.000, 0.000, 0.000], [0.750, 0.750, 0.750], [0.250, 0.250, 0.250], [0.500, 0.500, 0.500]],
  "total_magnetization_mub_per_atom": 1.676,
  "dos_ef_per_ev_fu": 15.89
}

=====

Name the least stable of them. <b>.